First-principles (PBE-GGA) data for NiHgP2 after structural relaxation, as listed in Alexandria via LeMat-Bulk.

Unit cell a=4.116 b=3.670 c=5.111 alpha=90.00 beta=109.89 gamma=90.00
Fractional positions:
Ni  0.000  0.000  0.000
Hg  0.500  0.000  0.500
P  0.222  0.500  0.872
P  0.778  0.500  0.128

Properties
Its density of states at the Fermi level is 1.726 states/eV/f.u. For the energy relative to the elements, the calculation gives 0.230 kcal/mol of atoms. The total energy is -4.2157 eV/atom.